(1)
VASP calculation (GGA-PBE) on crystalline Ta2Co2Ni at its relaxed geometry.

Properties
calculated formation energy = -165 meV per atom
SG = P4/mbm (127)

abc: 6.728 6.728 3.064
angles: 90.00 90.00 90.00
Atoms (fractional coordinates):
Co 0.869 0.631 0.000
Co 0.369 0.869 0.000
Co 0.131 0.369 0.000
Co 0.631 0.131 0.000
Ta 0.673 0.827 0.500
Ta 0.327 0.173 0.500
Ta 0.173 0.673 0.500
Ta 0.827 0.327 0.500
Ni 0.500 0.500 0.000
Ni 0.000 0.000 0.000

***

(2)
VASP calculation (GGA-PBE) on crystalline TlCd12Pb16 at its relaxed geometry.

Properties
calculated formation energy = 33 meV per atom
SG = Cm (8)

abc: 10.177 10.177 10.188
angles: 109.16 109.16 109.45
Atoms (fractional coordinates):
Cd 0.188 0.002 0.371
Cd 0.813 0.187 0.813
Cd 0.999 0.369 0.183
Cd 0.187 0.813 0.813
Cd 0.002 0.188 0.371
Cd 0.369 0.999 0.183
Cd 0.369 0.183 0.996
Cd 0.183 0.369 0.996
Cd 0.817 0.817 0.188
Cd 0.818 0.631 0.636
Cd 0.629 0.629 0.820
Cd 0.631 0.818 0.636
Pb 0.408 0.688 0.999
Pb 0.716 0.315 0.312
Pb 0.663 0.006 0.006
Pb 0.338 0.338 0.327
Pb 0.006 0.663 0.006
Pb 0.004 0.687 0.406
Pb 0.588 0.283 0.592
Pb 0.306 0.306 0.721
Pb 0.407 0.996 0.687
Pb 0.688 0.408 0.999
Pb 0.687 0.004 0.406
Pb 0.315 0.716 0.312
Pb 0.989 0.989 0.655
Pb 0.283 0.588 0.592
Pb 0.000 0.000 0.002
Pb 0.996 0.407 0.687
Tl 0.602 0.602 0.287

***

(3)
VASP calculation (GGA-PBE) on crystalline Ce2Sm3YEr6 at its relaxed geometry.

Properties
calculated formation energy = 46 meV per atom
SG = C2/m (12)

abc: 6.142 6.142 11.684
angles: 95.02 95.02 119.98
Atoms (fractional coordinates):
Ce 0.334 0.666 0.000
Ce 0.666 0.334 0.000
Er 0.918 0.582 0.753
Er 0.254 0.254 0.752
Er 0.418 0.082 0.247
Er 0.082 0.418 0.247
Er 0.746 0.746 0.248
Er 0.582 0.918 0.753
Sm 0.166 0.834 0.500
Sm 0.500 0.500 0.500
Sm 0.834 0.166 0.500
Y 0.000 0.000 0.000

***

(4)
VASP calculation (GGA-PBE) on crystalline Sm3Ho7Tm at its relaxed geometry.

Properties
calculated formation energy = 149 meV per atom
SG = P2/m (10)
ΔE to the lowest computed polymorph = 0 meV per atom

abc: 8.825 10.077 5.495
angles: 90.00 128.49 106.59
Atoms (fractional coordinates):
Ho 0.816 0.636 0.316
Ho 0.902 0.829 0.902
Ho 0.500 0.000 0.500
Ho 0.362 0.711 0.861
Ho 0.184 0.364 0.684
Ho 0.098 0.171 0.098
Ho 0.638 0.289 0.139
Sm 0.000 0.500 0.000
Sm 0.215 0.994 0.715
Sm 0.785 0.006 0.285
Tm 0.500 0.500 0.500